1.
A geometry-optimized NaPr2Mg structure. Source: Alexandria via LeMat-Bulk, functional GGA-PBE.

The structure belongs to space group Fm-3m (No. 225); the cell edges are 8.007, 8.007 and 8.007 Å and the angles 90.00°, 90.00° and 90.00°. The distinct sites, in fractional coordinates, are Na at (0.000, 0.000, 0.000), Pr at (0.250, 0.250, 0.250) and Mg at (0.000, 0.000, 0.500).

The calculation puts the relative energy among the computed polymorphs at 0.043 eV/atom. The calculation puts the density of states at the Fermi level at 6.1 states/eV/f.u. The value obtained for the final energy is -3.000 eV per atom.

2.
A geometry-optimized NaPrMg structure. Source: Alexandria via LeMat-Bulk, functional GGA-PBE.

The structure belongs to space group I4mm (No. 107); the cell edges are 3.483, 3.483 and 15.774 Å and the angles 90.00°, 90.00° and 90.00°. The distinct sites, in fractional coordinates, are Na at (0.000, 0.000, 0.000), Pr at (0.000, 0.000, 0.693) and Mg at (0.000, 0.000, 0.341).

The calculation puts the relative energy among the computed polymorphs at 0.041 eV/atom. The calculation puts the density of states at the Fermi level at 2.7 states/eV/f.u. The value obtained for the final energy is -2.469 eV per atom.

3.
A geometry-optimized NaPr2MgSe4 structure. Source: Alexandria via LeMat-Bulk, functional GGA-PBE.

The structure belongs to space group P2/m (No. 10); the cell edges are 7.241, 4.157 and 7.242 Å and the angles 90.00°, 108.89° and 90.00°. The distinct sites, in fractional coordinates, are Na at (0.000, 0.000, 0.000), Pr at (0.000, 0.500, 0.500), Pr at (0.500, 0.000, 0.500), Mg at (0.500, 0.500, 0.000), Se at (0.257, 0.500, 0.240) and Se at (0.265, 0.000, 0.770).

The calculation puts the density of states at the Fermi level at 3.1 states/eV/f.u. The value obtained for the final energy is -4.848 eV per atom. The uncorrected formation energy comes out at -1194.0 kJ/mol of formula units.

4.
A geometry-optimized NaSrPrMg structure. Source: Alexandria via LeMat-Bulk, functional GGA-PBE.

The structure belongs to space group F-43m (No. 216); the cell edges are 8.301, 8.301 and 8.301 Å and the angles 90.00°, 90.00° and 90.00°. The distinct sites, in fractional coordinates, are Na at (0.000, 0.000, 0.000), Sr at (0.250, 0.250, 0.250), Pr at (0.250, 0.250, 0.750) and Mg at (0.000, 0.000, 0.500).

The calculation puts the density of states at the Fermi level at 4.2 states/eV/f.u. The value obtained for the final energy is -2.236 eV per atom.

5.
A geometry-optimized NaPrYMg structure. Source: Alexandria via LeMat-Bulk, functional GGA-PBE.

The structure belongs to space group F-43m (No. 216); the cell edges are 7.888, 7.888 and 7.888 Å and the angles 90.00°, 90.00° and 90.00°. The distinct sites, in fractional coordinates, are Na at (0.000, 0.000, 0.000), Pr at (0.250, 0.250, 0.750), Y at (0.250, 0.250, 0.250) and Mg at (0.000, 0.000, 0.500).

The calculation puts the density of states at the Fermi level at 6.3 states/eV/f.u. The value obtained for the final energy is -3.401 eV per atom.

6.
A geometry-optimized NaPrMgZn structure. Source: Alexandria via LeMat-Bulk, functional GGA-PBE.

The structure belongs to space group F-43m (No. 216); the cell edges are 7.284, 7.284 and 7.284 Å and the angles 90.00°, 90.00° and 90.00°. The distinct sites, in fractional coordinates, are Na at (0.000, 0.000, 0.000), Pr at (0.250, 0.250, 0.750), Mg at (0.250, 0.250, 0.250) and Zn at (0.000, 0.000, 0.500).

The calculation puts the density of states at the Fermi level at 1.2 states/eV/f.u. The value obtained for the final energy is -2.300 eV per atom.

7.
A geometry-optimized NaMgPt structure. Source: Alexandria via LeMat-Bulk, functional GGA-PBE.

The structure belongs to space group C2/m (No. 12); the cell edges are 7.698, 4.490 and 8.363 Å and the angles 90.00°, 107.97° and 90.00°. The distinct sites, in fractional coordinates, are Na at (0.130, 0.000, 0.387), Mg at (0.127, 0.500, 0.879) and Pt at (0.238, 0.500, 0.211).

The calculation puts the relative energy among the computed polymorphs at 0.160 eV/atom. The calculation puts the density of states at the Fermi level at 1.5 states/eV/f.u. The value obtained for the final energy is -3.282 eV per atom.

8.
A geometry-optimized NaMgPt structure. Source: Alexandria via LeMat-Bulk, functional GGA-PBE.

The structure belongs to space group Cmcm (No. 63); the cell edges are 4.701, 9.956 and 4.669 Å and the angles 90.00°, 90.00° and 90.00°. The distinct sites, in fractional coordinates, are Na at (0.000, 0.074, 0.250), Mg at (0.000, 0.262, 0.750) and Pt at (0.000, 0.403, 0.250).

The calculation puts the relative energy among the computed polymorphs at 0.082 eV/atom. The calculation puts the density of states at the Fermi level at 0.9 states/eV/f.u. The value obtained for the final energy is -3.360 eV per atom.

9.
A geometry-optimized NaMgPt2 structure. Source: Alexandria via LeMat-Bulk, functional GGA-PBE.

The structure belongs to space group P4/mmm (No. 123); the cell edges are 2.871, 2.871 and 8.246 Å and the angles 90.00°, 90.00° and 90.00°. The distinct sites, in fractional coordinates, are Na at (0.000, 0.000, 0.000), Mg at (0.000, 0.000, 0.500) and Pt at (0.500, 0.500, 0.278).

The calculation puts the density of states at the Fermi level at 0.8 states/eV/f.u. The value obtained for the final energy is -4.265 eV per atom.

10.
A geometry-optimized Na2MgPt2 structure. Source: Alexandria via LeMat-Bulk, functional GGA-PBE.

The structure belongs to space group P4/mbm (No. 127); the cell edges are 6.674, 6.674 and 4.703 Å and the angles 90.00°, 90.00° and 90.00°. The distinct sites, in fractional coordinates, are Na at (0.165, 0.335, 0.000), Mg at (0.000, 0.000, 0.500) and Pt at (0.136, 0.636, 0.500).

The calculation puts the relative energy among the computed polymorphs at 0.000 eV/atom. The calculation puts the density of states at the Fermi level at 0.8 states/eV/f.u. The value obtained for the final energy is -3.541 eV per atom.

11.
A geometry-optimized Na3MgPt structure. Source: Alexandria via LeMat-Bulk, functional GGA-PBE.

The structure belongs to space group Pm-3m (No. 221); the cell edges are 5.480, 5.480 and 5.480 Å and the angles 90.00°, 90.00° and 90.00°. The distinct sites, in fractional coordinates, are Na at (0.000, 0.000, 0.500), Mg at (0.500, 0.500, 0.500) and Pt at (0.000, 0.000, 0.000).

The calculation puts the relative energy among the computed polymorphs at 0.000 eV/atom. The calculation puts the density of states at the Fermi level at 3.4 states/eV/f.u. The value obtained for the final energy is -2.120 eV per atom.

12.
A geometry-optimized NaMgPt2 structure. Source: Alexandria via LeMat-Bulk, functional GGA-PBE.

The structure belongs to space group P4/mmm (No. 123); the cell edges are 4.094, 4.094 and 3.967 Å and the angles 90.00°, 90.00° and 90.00°. The distinct sites, in fractional coordinates, are Na at (0.000, 0.000, 0.000), Mg at (0.500, 0.500, 0.000) and Pt at (0.000, 0.500, 0.500).

The calculation puts the density of states at the Fermi level at 2.1 states/eV/f.u. The value obtained for the final energy is -4.153 eV per atom.